No. 1
Computed, not measured: Mg2Al2As after structural relaxation at the PBE level of DFT.

Calculated values
Total magnetic moment ... 0.0 μB/cell
Formation energy from the elements ... 0.02 eV per atom
Volume ... 205.47 Å³/cell
Final energy ... -3.048 eV per atom
Energy relative to the lowest polymorph listed for this composition ... 0 meV per atom

Cell: 6.8180 6.8180 4.4202 Å, 90.00 90.00 90.00°
Last column: nearest neighbours and their distance in Å.
Fractional coordinates of all 10 atoms:
1 As 0.0000 0.0000 0.0000  4 Al 2.65
2 As 0.5000 0.5000 0.0000  4 Al 2.65
3 Al 0.1366 0.3634 0.0000  1 Al 2.63, 2 As 2.65, 2 Mg 2.93
4 Al 0.6366 0.1366 0.0000  1 Al 2.63, 2 As 2.65, 2 Mg 2.93
5 Al 0.3634 0.8634 0.0000  1 Al 2.63, 2 As 2.65, 2 Mg 2.93
6 Al 0.8634 0.6366 0.0000  1 Al 2.63, 2 As 2.65, 2 Mg 2.93
7 Mg 0.6644 0.8356 0.5000  6 Al 2.93-3.02, 1 Mg 3.17
8 Mg 0.8356 0.3356 0.5000  6 Al 2.93-3.02, 1 Mg 3.17
9 Mg 0.3356 0.1644 0.5000  6 Al 2.93-3.02, 1 Mg 3.17
10 Mg 0.1644 0.6644 0.5000  6 Al 2.93-3.02, 1 Mg 3.17



No. 2
Computed, not measured: MgAlAs2 after structural relaxation at the PBE level of DFT.

Calculated values
Total magnetic moment ... 0.0 μB/cell
Formation energy from the elements ... -0.30 eV per atom
Volume ... 78.73 Å³/cell
Final energy ... -3.961 eV per atom
Energy relative to the lowest polymorph listed for this composition ... 0 meV per atom

Cell: 3.7187 3.7187 7.0011 Å, 75.24 75.24 58.23°
Last column: nearest neighbours and their distance in Å.
Fractional coordinates of all 4 atoms:
1 Mg 0.7500 0.7500 0.7500  6 As 2.79-2.82
2 As 0.9955 0.9955 0.0219  3 Al 2.61-2.62, 3 Mg 2.79-2.82
3 As 0.5045 0.5045 0.4781  3 Al 2.61-2.62, 3 Mg 2.79-2.82
4 Al 0.2500 0.2500 0.2500  6 As 2.61-2.62



No. 3
Computed, not measured: MgAl3As after structural relaxation at the PBE level of DFT.

Calculated values
Total magnetic moment ... 0.0 μB/cell
Formation energy from the elements ... 0.94 eV per atom
Volume ... 126.77 Å³/cell
Final energy ... -2.551 eV per atom
Energy relative to the lowest polymorph listed for this composition ... 413 meV per atom

Cell: 5.0235 5.0235 5.0235 Å, 90.00 90.00 90.00°
Last column: nearest neighbours and their distance in Å.
Fractional coordinates of all 5 atoms:
1 Al 0.0000 0.0000 0.5000  2 Mg 2.51
2 Al 0.5000 0.0000 0.0000  2 Mg 2.51
3 Al 0.0000 0.5000 0.0000  2 Mg 2.51
4 Mg 0.0000 0.0000 0.0000  6 Al 2.51
5 As 0.5000 0.5000 0.5000  12 Al 3.55



No. 4
Computed, not measured: MgAlAs2 after structural relaxation at the PBE level of DFT.

Calculated values
Total magnetic moment ... 0.0 μB/cell
Formation energy from the elements ... -0.06 eV per atom
Volume ... 76.16 Å³/cell
Final energy ... -3.714 eV per atom
Energy relative to the lowest polymorph listed for this composition ... 246 meV per atom

Cell: 5.8155 5.8155 5.8155 Å, 141.34 141.34 55.82°
Last column: nearest neighbours and their distance in Å.
Fractional coordinates of all 4 atoms:
1 Mg 0.5000 0.5000 0.0000  4 As 2.72
2 As 0.2500 0.7500 0.5000  4 Al 2.72
3 As 0.0000 0.0000 0.0000  4 Mg 2.72
4 Al 0.7500 0.2500 0.5000  4 As 2.72



No. 5
Computed, not measured: Mg2Al2As after structural relaxation at the PBE level of DFT.

Calculated values
Total magnetic moment ... 0.0 μB/cell
Formation energy from the elements ... 0.28 eV per atom
Volume ... 107.65 Å³/cell
Final energy ... -2.788 eV per atom
Energy relative to the lowest polymorph listed for this composition ... 260 meV per atom

Cell: 7.0326 7.0326 7.0326 Å, 146.11 146.11 48.68°
Last column: nearest neighbours and their distance in Å.
Fractional coordinates of all 5 atoms:
1 Mg 0.7500 0.2500 0.5000  4 Al 2.85, 4 Mg 2.90
2 Mg 0.2500 0.7500 0.5000  4 Al 2.85, 4 Mg 2.90
3 Al 0.4046 0.4046 0.0000  1 Al 2.45
4 Al 0.5954 0.5954 0.0000  1 Al 2.45
5 As 0.0000 0.0000 0.0000  8 Al 3.15



No. 6
Computed, not measured: MgAlAs2 after structural relaxation at the PBE level of DFT.

Calculated values
Total magnetic moment ... 0.0 μB/cell
Formation energy from the elements ... -0.01 eV per atom
Volume ... 74.70 Å³/cell
Final energy ... -3.665 eV per atom
Energy relative to the lowest polymorph listed for this composition ... 296 meV per atom

Cell: 4.7272 4.7272 4.7272 Å, 60.00 60.00 60.00°
Last column: nearest neighbours and their distance in Å.
Fractional coordinates of all 4 atoms:
1 As 0.7500 0.7500 0.7500  4 Mg 2.89, 4 Al 2.89
2 As 0.2500 0.2500 0.2500  4 Al 2.89, 4 Mg 2.89
3 Mg 0.0000 0.0000 0.0000  8 As 2.89
4 Al 0.5000 0.5000 0.5000  8 As 2.89



No. 7
Computed, not measured: MgAlAs2 after structural relaxation at the PBE level of DFT.

Calculated values
Total magnetic moment ... 0.0 μB/cell
Formation energy from the elements ... 0.07 eV per atom
Volume ... 79.51 Å³/cell
Final energy ... -3.593 eV per atom
Energy relative to the lowest polymorph listed for this composition ... 368 meV per atom

Cell: 2.9214 2.9214 9.4147 Å, 90.00 90.00 98.31°
Last column: nearest neighbours and their distance in Å.
Fractional coordinates of all 4 atoms:
1 Mg 0.0000 0.0000 0.5036  4 As 2.76-2.98, 4 Mg 2.92, 2 Al 3.00
2 As 0.5000 0.5000 0.2917  4 Mg 2.76-2.98, 4 As 2.92
3 As 0.0000 0.0000 0.9560  4 Al 2.73-2.95, 4 As 2.92
4 Al 0.5000 0.5000 0.7487  4 As 2.73-2.95, 4 Al 2.92, 2 Mg 3.00



No. 8
Computed, not measured: MgAlAs2 after structural relaxation at the PBE level of DFT.

Calculated values
Total magnetic moment ... 0.0 μB/cell
Formation energy from the elements ... -0.06 eV per atom
Volume ... 74.71 Å³/cell
Final energy ... -3.723 eV per atom
Energy relative to the lowest polymorph listed for this composition ... 238 meV per atom

Cell: 4.6667 4.6667 3.4890 Å, 90.00 90.00 79.52°
Last column: nearest neighbours and their distance in Å.
Fractional coordinates of all 4 atoms:
1 As 0.5000 0.5000 0.0000  4 Al 2.91, 4 Mg 2.91, 2 As 2.98
2 As 0.0000 0.0000 0.0000  4 Mg 2.91, 4 Al 2.91, 2 As 2.98
3 Mg 0.5000 0.0000 0.5000  8 As 2.91, 2 Al 2.98
4 Al 0.0000 0.5000 0.5000  8 As 2.91, 2 Mg 2.98



No. 9
Computed, not measured: Mg2AlAs2 after structural relaxation at the PBE level of DFT.

Calculated values
Total magnetic moment ... 0.0 μB/cell
Formation energy from the elements ... -0.22 eV per atom
Volume ... 195.82 Å³/cell
Final energy ... -3.467 eV per atom
Energy relative to the lowest polymorph listed for this composition ... 0 meV per atom

Cell: 7.8278 7.8278 3.1959 Å, 90.00 90.00 90.00°
Last column: nearest neighbours and their distance in Å.
Fractional coordinates of all 10 atoms:
1 As 0.8364 0.6636 0.0000  6 Mg 2.71-2.86, 2 Al 2.93
2 As 0.3364 0.8364 0.0000  6 Mg 2.71-2.86, 2 Al 2.93
3 As 0.1636 0.3364 0.0000  6 Mg 2.71-2.86, 2 Al 2.93
4 As 0.6636 0.1636 0.0000  6 Mg 2.71-2.86, 2 Al 2.93
5 Al 0.5000 0.5000 0.0000  4 As 2.93, 2 Al 3.20
6 Al 0.0000 0.0000 0.0000  4 As 2.93, 2 Al 3.20
7 Mg 0.8612 0.3612 0.5000  6 As 2.71-2.86
8 Mg 0.6388 0.8612 0.5000  6 As 2.71-2.86
9 Mg 0.1388 0.6388 0.5000  6 As 2.71-2.86
10 Mg 0.3612 0.1388 0.5000  6 As 2.71-2.86



No. 10
Computed, not measured: MgAlAs4 after structural relaxation at the PBE level of DFT.

Calculated values
Total magnetic moment ... 0.0 μB/cell
Formation energy from the elements ... 0.29 eV per atom
Volume ... 125.84 Å³/cell
Final energy ... -3.700 eV per atom

Cell: 5.6249 5.6249 5.6249 Å, 60.00 60.00 60.00°
Last column: nearest neighbours and their distance in Å.
Fractional coordinates of all 6 atoms:
1 As 0.3741 0.3741 0.3741  6 As 2.79-2.83
2 As 0.3741 0.8778 0.3741  6 As 2.79-2.83
3 As 0.3741 0.3741 0.8778  6 As 2.79-2.83
4 As 0.8778 0.3741 0.3741  6 As 2.79-2.83
5 Al 0.0000 0.0000 0.0000  12 As 3.30, 4 Mg 3.44
6 Mg 0.7500 0.7500 0.7500  12 As 3.30, 4 Al 3.44



No. 11
Computed, not measured: MgAlAs2 after structural relaxation at the PBE level of DFT.

Calculated values
Total magnetic moment ... 0.0 μB/cell
Formation energy from the elements ... -0.28 eV per atom
Volume ... 77.08 Å³/cell
Final energy ... -3.935 eV per atom
Energy relative to the lowest polymorph listed for this composition ... 26 meV per atom

Cell: 3.8201 6.0097 3.8201 Å, 102.90 108.94 101.90°
Last column: nearest neighbours and their distance in Å.
Fractional coordinates of all 4 atoms:
1 As 0.9881 0.9761 0.9879  3 Al 2.64-2.67, 3 Mg 2.77-2.81
2 As 0.5119 0.5239 0.0121  3 Al 2.64-2.67, 3 Mg 2.77-2.81
3 Al 0.2500 0.7500 0.5000  6 As 2.64-2.67
4 Mg 0.7500 0.2500 0.5000  6 As 2.77-2.81



No. 12
Computed, not measured: MgAlAs2 after structural relaxation at the PBE level of DFT.

Calculated values
Total magnetic moment ... 0.0 μB/cell
Formation energy from the elements ... 0.17 eV per atom
Volume ... 78.25 Å³/cell
Final energy ... -3.489 eV per atom
Energy relative to the lowest polymorph listed for this composition ... 472 meV per atom

Cell: 4.8011 4.8011 4.8011 Å, 60.00 60.00 60.00°
Last column: nearest neighbours and their distance in Å.
Fractional coordinates of all 4 atoms:
1 As 0.0000 0.0000 0.0000  4 Mg 2.94, 4 As 2.94
2 As 0.2500 0.2500 0.2500  4 As 2.94, 4 Al 2.94
3 Al 0.5000 0.5000 0.5000  4 As 2.94, 4 Mg 2.94
4 Mg 0.7500 0.7500 0.7500  4 As 2.94, 4 Al 2.94



Repeat the eleventh record exactly.
Computed, not measured: MgAlAs2 after structural relaxation at the PBE level of DFT.

Calculated values
Total magnetic moment ... 0.0 μB/cell
Formation energy from the elements ... -0.28 eV per atom
Volume ... 77.08 Å³/cell
Final energy ... -3.935 eV per atom
Energy relative to the lowest polymorph listed for this composition ... 26 meV per atom

Cell: 3.8201 6.0097 3.8201 Å, 102.90 108.94 101.90°
Last column: nearest neighbours and their distance in Å.
Fractional coordinates of all 4 atoms:
1 As 0.9881 0.9761 0.9879  3 Al 2.64-2.67, 3 Mg 2.77-2.81
2 As 0.5119 0.5239 0.0121  3 Al 2.64-2.67, 3 Mg 2.77-2.81
3 Al 0.2500 0.7500 0.5000  6 As 2.64-2.67
4 Mg 0.7500 0.2500 0.5000  6 As 2.77-2.81



Q: What is the total magnetic moment in the first record?
A: 0.0 μB/cell